1.
A relaxed Zr2AlGaFe2Co2 crystal. Source: the Open Quantum Materials Database, functional PBE-GGA.

The structure in POSCAR format:
```
Zr2AlGaFe2Co2
1.0
4.273 0.000 0.000
0.000 4.273 0.000
0.000 0.000 6.044
Zr Al Ga Fe Co
2 1 1 2 2
Cartesian
0.000 0.000 0.000 Zr
2.137 2.137 3.022 Zr
0.000 0.000 3.022 Al
2.137 2.137 0.000 Ga
0.000 2.137 4.526 Fe
2.137 0.000 1.517 Fe
0.000 2.137 1.519 Co
2.137 0.000 4.525 Co
```

* VASP energy: -7.227 eV/atom
* space-group type: No. 115

=====

2.
A relaxed Hf2Al2FeCoIr2 crystal. Source: the Open Quantum Materials Database, functional PBE-GGA.

The structure in POSCAR format:
```
Hf2Al2FeCoIr2
1.0
4.375 0.000 0.000
0.000 4.375 0.000
0.000 0.000 6.190
Hf Al Fe Co Ir
2 2 1 1 2
Cartesian
0.000 2.188 1.549 Hf
2.188 0.000 4.641 Hf
0.000 2.188 4.642 Al
2.188 0.000 1.548 Al
0.000 0.000 3.095 Fe
2.188 2.188 0.000 Co
0.000 0.000 0.000 Ir
2.188 2.188 3.095 Ir
```

* VASP energy: -8.340 eV/atom
* space-group type: No. 115

=====

Please write out number 1 again, unchanged.
A relaxed Zr2AlGaFe2Co2 crystal. Source: the Open Quantum Materials Database, functional PBE-GGA.

The structure in POSCAR format:
```
Zr2AlGaFe2Co2
1.0
4.273 0.000 0.000
0.000 4.273 0.000
0.000 0.000 6.044
Zr Al Ga Fe Co
2 1 1 2 2
Cartesian
0.000 0.000 0.000 Zr
2.137 2.137 3.022 Zr
0.000 0.000 3.022 Al
2.137 2.137 0.000 Ga
0.000 2.137 4.526 Fe
2.137 0.000 1.517 Fe
0.000 2.137 1.519 Co
2.137 0.000 4.525 Co
```

* VASP energy: -7.227 eV/atom
* space-group type: No. 115

=====

- Look up the VASP energy of the second one.
  -8.340 eV/atom

=====

- Which formula does entry 2 have?
  Hf2Al2FeCoIr2

=====

- Which value of VASP energy does entry 2 give?
  -8.340 eV/atom